LiPr2Tm3Te6 | the Alexandria database | PBE-GGA | optimized geometry; calculated density = 7.24 Mg/m³; total energy = -4.954 eV per atom; space group = No. 12; formation energy from raw total energies = -1.310 eV per atom; Fermi-level density of states = 0.30 states/eV per atom
1.0
-1.163 -2.659 -3.242
3.949 -6.739 4.111
-8.411 1.146 4.996
Li Pr Tm Te
1 2 3 6
direct
0.500 0.000 0.000 Li
0.828 0.655 0.657 Pr
0.172 0.345 0.343 Pr
0.500 0.500 0.000 Tm
0.830 0.167 0.659 Tm
0.170 0.833 0.341 Tm
0.336 0.929 0.673 Te
0.660 0.596 0.320 Te
0.664 0.071 0.327 Te
0.997 0.247 0.993 Te
0.003 0.753 0.007 Te
0.340 0.404 0.680 Te